A plane-wave DFT calculation with PBE-GGA was carried out for crystalline Tb3BC4 at its relaxed geometry.

```
Tb3BC4
1.0
3.8194 0.0000 0.0000
0.0000 4.3383 0.0000
-1.9097 -2.1691 6.2793
Tb B C
3 1 4
direct
0.1840 0.1840 0.3680
0.8160 0.8160 0.6320
0.0000 0.5000 0.0000
0.5000 0.0000 0.0000
0.3824 0.5493 0.7648
0.6176 0.4507 0.2352
0.6176 0.7845 0.2352
0.3824 0.2155 0.7648
```

Calculated values
* calculated formation energy: 77 meV per atom
* symmetry: Immm, No. 71

=====

A plane-wave DFT calculation with PBE-GGA was carried out for crystalline Tb3B9C2 at its relaxed geometry.

```
Tb3B9C2
1.0
3.1643 0.0000 0.0000
1.5821 7.1822 -0.2707
1.5821 1.3644 7.0567
Tb B C
3 9 2
direct
0.0000 0.0000 0.0000
0.6772 0.3228 0.3228
0.3228 0.6772 0.6772
0.0000 0.5000 0.5000
0.6344 0.0693 0.6619
0.3656 0.9307 0.3381
0.6344 0.6619 0.0693
0.3656 0.3381 0.9307
0.7882 0.9566 0.4670
0.2118 0.0434 0.5330
0.7882 0.4670 0.9566
0.2118 0.5330 0.0434
0.5000 0.2069 0.7931
0.5000 0.7931 0.2069
```

Calculated values
* calculated formation energy: 246 meV per atom
* symmetry: Immm, No. 71

=====

A plane-wave DFT calculation with PBE-GGA was carried out for crystalline TbB4C2 at its relaxed geometry.

```
TbB4C2
1.0
4.2984 0.0000 0.0000
0.0000 6.0817 0.0000
0.0000 0.0000 6.0817
Tb B C
2 8 4
direct
0.5000 0.0000 0.0000
0.0000 0.5000 0.5000
0.0000 0.9431 0.3834
0.0000 0.0569 0.6166
0.5000 0.1166 0.4431
0.5000 0.8834 0.5569
0.5000 0.5569 0.8834
0.5000 0.4431 0.1166
0.0000 0.3834 0.9431
0.0000 0.6166 0.0569
0.0000 0.1900 0.8100
0.0000 0.8100 0.1900
0.5000 0.6900 0.6900
0.5000 0.3100 0.3100
```

Calculated values
* calculated formation energy: 187 meV per atom
* symmetry: P4_2/mnm, No. 136

=====

A plane-wave DFT calculation with PBE-GGA was carried out for crystalline Tb3BC3 at its relaxed geometry.

```
Tb3BC3
1.0
-2.6743 -4.1098 1.7023
4.3901 -0.6225 5.3937
-5.7169 3.9649 0.5914
Tb B C
6 2 6
direct
0.7500 0.7041 0.6373
0.7500 0.3627 0.0669
0.7500 0.9331 0.2959
0.2500 0.2959 0.3627
0.2500 0.6373 0.9331
0.2500 0.0669 0.7041
0.2500 0.6667 0.3333
0.7500 0.3333 0.6667
0.2500 0.6898 0.5835
0.2500 0.4165 0.1063
0.2500 0.8937 0.3102
0.7500 0.3102 0.4165
0.7500 0.5835 0.8937
0.7500 0.1063 0.6898
```

Calculated values
* calculated formation energy: -289 meV per atom
* symmetry: P6_3/m, No. 176

=====

A plane-wave DFT calculation with PBE-GGA was carried out for crystalline TbTc2BC at its relaxed geometry.

```
TbTc2BC
1.0
-2.0832 -1.4772 2.4045
2.9397 -4.1864 -2.5834
5.2217 0.6344 4.9138
Tb Tc B C
2 4 2 2
direct
0.4566 0.9132 0.7500
0.5434 0.0868 0.2500
0.1740 0.3479 0.9357
0.8260 0.6521 0.0643
0.1740 0.3479 0.5643
0.8260 0.6521 0.4357
0.7346 0.4693 0.7500
0.2654 0.5307 0.2500
0.0000 0.0000 0.0000
0.0000 0.0000 0.5000
```

Calculated values
* calculated formation energy: -371 meV per atom
* symmetry: Cmcm, No. 63

=====

A plane-wave DFT calculation with PBE-GGA was carried out for crystalline Tb2Tc2BC2 at its relaxed geometry.

```
Tb2Tc2BC2
1.0
3.3822 0.0000 0.0000
1.6911 6.3091 0.5528
1.6911 2.8550 5.2234
Tb Tc B C
2 2 1 2
direct
0.6120 0.1819 0.5942
0.3880 0.8181 0.4058
0.1648 0.6766 0.9937
0.8352 0.3234 0.0063
0.0000 0.0000 0.0000
0.2472 0.2707 0.2349
0.7528 0.7293 0.7651
```

Calculated values
* calculated formation energy: -302 meV per atom
* symmetry: C2/m, No. 12

=====

A plane-wave DFT calculation with PBE-GGA was carried out for crystalline TbZn2B2C at its relaxed geometry.

```
TbZn2B2C
1.0
3.6475 -0.0026 -0.0038
-0.0038 3.6475 -0.0038
-1.8309 -1.8315 5.6701
Zn B Tb C
2 2 1 1
direct
0.2500 0.7499 0.5000
0.7499 0.2500 0.5000
0.1269 0.1269 0.2589
0.8731 0.8731 0.7411
0.5000 0.5000 0.0000
0.0000 0.0000 0.0000
```

Calculated values
* calculated formation energy: -173 meV per atom
* symmetry: C2/m, No. 12

=====

A plane-wave DFT calculation with PBE-GGA was carried out for crystalline Tc2B2C at its relaxed geometry.

```
Tc2B2C
1.0
2.7813 0.0000 0.0000
0.0000 2.7813 0.0000
1.3906 1.3906 6.0451
C B Tc
1 2 2
direct
0.0000 0.0000 0.0000
0.7500 0.2500 0.5000
0.2500 0.7500 0.5000
0.3946 0.3946 0.2109
0.6054 0.6054 0.7891
```

Calculated values
* energy above the lowest structure with this stoichiometry: 0.039 eV per atom
* calculated formation energy: 236 meV per atom
* symmetry: I4/mmm, No. 139

=====

Computed values of ρ (unit: g/cm3) for the preceding records, in sequence: 8.5; 6.1; 4.7; 7.9; 9.1; 8.6; 7.1; 8.2.